# 1
DFT (PBE) results for an optimized crystal structure of Er4ScSb2.

Cell and atoms, written as POSCAR:
```
Er4ScSb2
1.0
5.061 0.000 0.000
0.000 5.061 0.000
-2.530 -2.530 8.159
Er Sb Sc
4 2 1
Cartesian
0.000 0.000 2.955
2.530 0.000 0.000
0.000 2.530 0.000
2.530 2.530 5.204
0.000 0.000 5.953
2.530 2.530 2.206
0.000 0.000 0.000
```

Results
* magnetization: 0.00 Bohr magnetons per cell
* VASP energy: -4.569 eV/atom
* formation energy (no corrections): 0.12 eV per atom
* space-group type: I4/mmm, No. 139

# 2
DFT (PBE) results for an optimized crystal structure of Er5Sc3Sb8.

Cell and atoms, written as POSCAR:
```
Er5Sc3Sb8
1.0
7.440 0.000 4.262
2.500 7.008 4.262
0.034 0.024 8.567
Er Sb Sc
5 8 3
Cartesian
1.250 3.504 2.131
4.987 3.516 8.545
3.720 0.000 2.131
4.970 3.504 4.262
0.000 0.000 0.000
2.453 1.729 4.343
2.510 1.770 8.484
3.781 5.332 10.651
3.681 5.262 6.440
7.464 5.262 8.606
6.193 1.699 6.440
7.521 5.302 12.747
6.292 1.770 10.651
0.017 0.012 4.283
3.737 0.012 6.414
1.267 3.516 6.414
```

Results
* magnetization: 0.00 Bohr magnetons per cell
* VASP energy: -5.701 eV/atom
* formation energy (no corrections): -1.03 eV per atom
* space-group type: R-3m, No. 166

# 3
DFT (PBE) results for an optimized crystal structure of ErSc3Sb3.

Cell and atoms, written as POSCAR:
```
ErSc3Sb3
1.0
-5.988 5.304 -3.134
-7.052 -3.201 -3.719
-7.090 0.686 2.930
Er Sc Sb
2 6 6
Cartesian
-11.424 1.386 0.623
-8.706 1.401 -4.546
-6.930 3.063 -2.035
-13.200 -0.275 -1.887
-8.286 -0.150 0.698
-9.286 -1.808 -3.288
-11.844 2.938 -4.620
-10.845 4.596 -0.634
-7.334 0.042 -2.134
-10.728 -1.310 -0.713
-8.656 2.736 0.389
-11.474 0.052 -4.312
-9.402 4.098 -3.210
-12.796 2.745 -1.788
```

Results
* magnetization: 0.00 Bohr magnetons per cell
* VASP energy: -5.923 eV/atom
* formation energy (no corrections): -0.79 eV per atom
* space-group type: R-3, No. 148

# 4
DFT (PBE) results for an optimized crystal structure of ErSc5Sb4.

Cell and atoms, written as POSCAR:
```
ErSc5Sb4
1.0
-3.768 -4.117 0.971
7.176 -6.541 0.114
1.055 1.327 9.719
Er Sc Sb
2 10 8
Cartesian
0.350 -6.721 5.887
-0.003 -0.003 0.001
-0.242 -3.727 8.045
-1.355 -1.393 5.345
-0.769 -4.390 3.188
1.116 -2.334 2.700
1.702 -5.331 0.543
5.230 -4.938 7.619
2.820 -7.662 3.245
4.702 -5.602 2.757
1.644 -1.670 7.562
3.348 -6.999 8.102
0.694 -6.288 9.064
0.343 0.432 3.177
3.553 -5.868 5.423
0.708 0.891 6.543
-0.565 -3.264 0.507
3.970 -7.397 0.579
0.912 -3.460 5.381
0.004 -7.156 2.710
```

Results
* magnetization: 3.92 Bohr magnetons per cell
* VASP energy: -5.803 eV/atom
* formation energy (no corrections): -0.53 eV per atom
* space-group type: Pmmn, No. 59

# 5
DFT (PBE) results for an optimized crystal structure of ErSc2Sb.

Cell and atoms, written as POSCAR:
```
ErSc2Sb
1.0
-2.300 -1.009 3.822
-3.238 -2.082 -2.498
2.291 -3.962 0.332
Sc Er Sb
2 1 1
Cartesian
-1.619 -1.041 -1.249
1.145 -1.981 0.166
-1.150 -0.505 1.911
-1.623 -3.526 0.828
```

Results
* magnetization: 1.41 Bohr magnetons per cell
* VASP energy: -5.790 eV/atom
* relative energy among the computed polymorphs: 158 meV/atom
* formation energy (no corrections): -0.45 eV per atom
* space-group type: P4/mmm, No. 123

# 6
DFT (PBE) results for an optimized crystal structure of ErSc4Sb5.

Cell and atoms, written as POSCAR:
```
ErSc4Sb5
1.0
-1.823 -3.705 0.770
4.204 -2.735 -3.209
4.684 2.124 9.850
Sc Sb Er
4 5 1
Cartesian
2.379 -0.444 3.495
4.687 -3.872 3.917
4.698 -0.876 6.902
2.368 -3.440 0.510
2.102 -1.367 -1.604
2.624 -2.512 5.579
6.745 -2.233 5.217
4.442 -1.804 1.833
0.321 -2.083 2.195
0.000 0.000 0.000
```

Results
* magnetization: 0.00 Bohr magnetons per cell
* VASP energy: -6.013 eV/atom
* formation energy (no corrections): -0.96 eV per atom
* space-group type: Immm, No. 71

# 7
DFT (PBE) results for an optimized crystal structure of Er3Sc5Sb8.

Cell and atoms, written as POSCAR:
```
Er3Sc5Sb8
1.0
7.356 0.000 4.213
2.471 6.928 4.213
0.031 0.022 8.473
Sb Sc Er
8 5 3
Cartesian
3.762 5.202 6.295
6.163 1.796 6.295
2.480 1.749 8.533
7.352 5.183 12.748
3.695 5.154 10.605
2.506 1.767 4.152
7.378 5.202 8.366
6.096 1.749 10.605
4.929 3.475 8.450
0.000 0.000 0.000
1.236 3.464 2.107
3.678 0.000 2.107
4.913 3.464 4.213
0.016 0.011 4.237
3.693 0.011 6.343
1.251 3.475 6.343
```

Results
* magnetization: 0.00 Bohr magnetons per cell
* VASP energy: -5.884 eV/atom
* formation energy (no corrections): -0.99 eV per atom
* space-group type: R-3m, No. 166

# 8
DFT (PBE) results for an optimized crystal structure of ErSc2Sb.

Cell and atoms, written as POSCAR:
```
ErSc2Sb
1.0
3.813 0.000 0.000
0.000 3.813 0.000
0.000 0.000 6.838
Sc Sb Er
2 1 1
Cartesian
0.000 0.000 5.319
0.000 0.000 1.518
1.906 1.906 0.000
1.906 1.906 3.419
```

Results
* magnetization: 0.01 Bohr magnetons per cell
* VASP energy: -5.762 eV/atom
* relative energy among the computed polymorphs: 185 meV/atom
* formation energy (no corrections): -0.43 eV per atom
* space-group type: P4/mmm, No. 123